i) {
  "formula": "Hf2PaCd",
  "functional": "PBE-GGA",
  "state": "optimized geometry",
  "rho_g_cm3": 12.9,
  "lattice_angstrom": [[3.235, 0.000, 0.000], [0.000, 4.099, 0.000], [0.000, 0.000, 6.821]],
  "species": ["Hf", "Hf", "Pa", "Cd"],
  "frac_coords": [[0.000, 0.000, 0.247], [0.000, 0.000, 0.753], [0.500, 0.500, 0.000], [0.500, 0.500, 0.500]]
}



ii) {
  "formula": "Hf2PaCd",
  "functional": "PBE-GGA",
  "state": "optimized geometry",
  "rho_g_cm3": 12.6,
  "lattice_angstrom": [[1.540, 0.889, 11.242], [-1.540, 0.889, 11.242], [0.000, -1.778, 11.242]],
  "species": ["Hf", "Hf", "Pa", "Cd"],
  "frac_coords": [[0.090, 0.090, 0.090], [0.910, 0.910, 0.910], [0.000, 0.000, 0.000], [0.500, 0.500, 0.500]]
}



iii) {
  "formula": "Hf2PaCd",
  "functional": "PBE-GGA",
  "state": "optimized geometry",
  "rho_g_cm3": 12.8,
  "lattice_angstrom": [[4.657, 0.000, 0.000], [0.000, 4.657, 0.000], [0.000, 0.000, 4.179]],
  "species": ["Hf", "Hf", "Pa", "Cd"],
  "frac_coords": [[0.000, 0.500, 0.000], [0.500, 0.000, 0.000], [0.000, 0.000, 0.500], [0.500, 0.500, 0.500]]
}



Quick look at relative energies in kJ/mol of atoms: i) 0.0; ii) 20.7; iii) 4.6.



i) {
  "formula": "HfCd2Pd2",
  "functional": "PBE-GGA",
  "state": "optimized geometry",
  "rho_g_cm3": 11.0,
  "lattice_angstrom": [[-1.720, 1.720, 7.868], [1.720, -1.720, 7.868], [1.720, 1.720, -7.868]],
  "species": ["Hf", "Cd", "Cd", "Pd", "Pd"],
  "frac_coords": [[0.000, 0.000, 0.000], [0.194, 0.194, 0.000], [0.806, 0.806, 0.000], [0.408, 0.408, 0.000], [0.592, 0.592, 0.000]]
}



ii) {
  "formula": "HfCd2Pd2",
  "functional": "PBE-GGA",
  "state": "optimized geometry",
  "rho_g_cm3": 10.9,
  "lattice_angstrom": [[7.905, 0.000, 0.000], [0.000, 7.905, 0.000], [0.000, 0.000, 2.990]],
  "species": ["Hf", "Hf", "Cd", "Cd", "Cd", "Cd", "Pd", "Pd", "Pd", "Pd"],
  "frac_coords": [[0.000, 0.000, 0.000], [0.500, 0.500, 0.000], [0.124, 0.376, 0.000], [0.376, 0.876, 0.000], [0.624, 0.124, 0.000], [0.876, 0.624, 0.000], [0.177, 0.677, 0.500], [0.323, 0.177, 0.500], [0.677, 0.823, 0.500], [0.823, 0.323, 0.500]]
}



iii) {
  "formula": "HfCd2Pd2",
  "functional": "PBE-GGA",
  "state": "optimized geometry",
  "rho_g_cm3": 10.6,
  "lattice_angstrom": [[7.050, 0.000, 0.000], [0.000, 7.050, 0.000], [0.000, 0.000, 3.871]],
  "species": ["Hf", "Hf", "Cd", "Cd", "Cd", "Cd", "Pd", "Pd", "Pd", "Pd"],
  "frac_coords": [[0.000, 0.000, 0.000], [0.500, 0.500, 0.000], [0.161, 0.339, 0.500], [0.339, 0.839, 0.500], [0.661, 0.161, 0.500], [0.839, 0.661, 0.500], [0.140, 0.640, 0.000], [0.360, 0.140, 0.000], [0.640, 0.860, 0.000], [0.860, 0.360, 0.000]]
}



Quick look at relative energies in kJ/mol of atoms: i) 0.0; ii) 28.5; iii) 19.0.



i) {
  "formula": "Hf2CdPd3",
  "functional": "PBE-GGA",
  "state": "optimized geometry",
  "rho_g_cm3": 11.9,
  "lattice_angstrom": [[3.339, 0.000, 0.000], [0.000, 3.339, 0.000], [0.000, 0.000, 9.864]],
  "species": ["Hf", "Hf", "Cd", "Pd", "Pd", "Pd"],
  "frac_coords": [[0.000, 0.000, 0.170], [0.000, 0.000, 0.830], [0.000, 0.000, 0.500], [0.500, 0.500, 0.000], [0.500, 0.500, 0.320], [0.500, 0.500, 0.680]]
}



ii) {
  "formula": "Hf2CdPd3",
  "functional": "PBE-GGA",
  "state": "optimized geometry",
  "rho_g_cm3": 10.4,
  "lattice_angstrom": [[0.000, 6.306, 6.306], [6.306, 0.000, 6.306], [6.306, 6.306, 0.000]],
  "species": ["Hf", "Hf", "Hf", "Hf", "Hf", "Hf", "Hf", "Hf", "Cd", "Cd", "Cd", "Cd", "Pd", "Pd", "Pd", "Pd", "Pd", "Pd", "Pd", "Pd", "Pd", "Pd", "Pd", "Pd"],
  "frac_coords": [[0.168, 0.777, 0.777], [0.223, 0.223, 0.223], [0.223, 0.223, 0.832], [0.223, 0.832, 0.223], [0.777, 0.168, 0.777], [0.777, 0.777, 0.168], [0.777, 0.777, 0.777], [0.832, 0.223, 0.223], [0.000, 0.500, 0.500], [0.500, 0.000, 0.500], [0.500, 0.500, 0.000], [0.500, 0.500, 0.500], [0.128, 0.128, 0.622], [0.128, 0.622, 0.128], [0.128, 0.622, 0.622], [0.378, 0.378, 0.872], [0.378, 0.872, 0.378], [0.378, 0.872, 0.872], [0.622, 0.128, 0.128], [0.622, 0.128, 0.622], [0.622, 0.622, 0.128], [0.872, 0.378, 0.378], [0.872, 0.378, 0.872], [0.872, 0.872, 0.378]]
}



Quick look at relative energies in kJ/mol of atoms: i) 0.0; ii) 35.3.



i) {
  "formula": "HfCd3Pd",
  "functional": "PBE-GGA",
  "state": "optimized geometry",
  "rho_g_cm3": 8.2,
  "lattice_angstrom": [[5.008, 0.000, 0.000], [0.000, 5.008, 0.000], [0.000, 0.000, 5.008]],
  "species": ["Hf", "Cd", "Cd", "Cd", "Pd"],
  "frac_coords": [[0.000, 0.000, 0.000], [0.000, 0.500, 0.500], [0.500, 0.000, 0.500], [0.500, 0.500, 0.000], [0.500, 0.500, 0.500]]
}



ii) {
  "formula": "HfCd3Pd",
  "functional": "PBE-GGA",
  "state": "optimized geometry",
  "rho_g_cm3": 6.2,
  "lattice_angstrom": [[5.499, 0.000, 0.000], [0.000, 5.499, 0.000], [0.000, 0.000, 5.499]],
  "species": ["Hf", "Cd", "Cd", "Cd", "Pd"],
  "frac_coords": [[0.000, 0.000, 0.000], [0.000, 0.000, 0.500], [0.000, 0.500, 0.000], [0.500, 0.000, 0.000], [0.500, 0.500, 0.500]]
}



Quick look at relative energies in kJ/mol of atoms: i) 0.0; ii) 62.9.



i) {
  "formula": "HfCd4Pd2",
  "functional": "PBE-GGA",
  "state": "optimized geometry",
  "rho_g_cm3": 7.1,
  "lattice_angstrom": [[-2.681, 2.681, 6.882], [2.681, -2.681, 6.882], [2.681, 2.681, -6.882]],
  "species": ["Hf", "Cd", "Cd", "Cd", "Cd", "Pd", "Pd"],
  "frac_coords": [[0.000, 0.000, 0.000], [0.000, 0.500, 0.500], [0.212, 0.212, 0.000], [0.500, 0.000, 0.500], [0.788, 0.788, 0.000], [0.405, 0.405, 0.000], [0.595, 0.595, 0.000]]
}



ii) {
  "formula": "HfCd4Pd2",
  "functional": "PBE-GGA",
  "state": "optimized geometry",
  "rho_g_cm3": 10.3,
  "lattice_angstrom": [[4.562, 0.000, 0.000], [0.000, 3.031, 0.000], [-2.264, 0.000, 9.840]],
  "species": ["Hf", "Cd", "Cd", "Cd", "Cd", "Pd", "Pd"],
  "frac_coords": [[0.000, 0.000, 0.000], [0.148, 0.500, 0.291], [0.298, 0.000, 0.598], [0.702, 0.000, 0.402], [0.852, 0.500, 0.709], [0.430, 0.500, 0.865], [0.570, 0.500, 0.135]]
}



Quick look at relative energies in kJ/mol of atoms: i) 81.0; ii) 0.0.



i) {
  "formula": "HfCdPd3",
  "functional": "PBE-GGA",
  "state": "optimized geometry",
  "rho_g_cm3": 8.7,
  "lattice_angstrom": [[4.887, 0.000, 0.000], [0.000, 4.887, 0.000], [0.000, 0.000, 4.887]],
  "species": ["Hf", "Cd", "Pd", "Pd", "Pd"],
  "frac_coords": [[0.000, 0.000, 0.000], [0.500, 0.500, 0.500], [0.000, 0.000, 0.500], [0.000, 0.500, 0.000], [0.500, 0.000, 0.000]]
}



ii) {
  "formula": "HfCdPd3",
  "functional": "PBE-GGA",
  "state": "optimized geometry",
  "rho_g_cm3": 10.8,
  "lattice_angstrom": [[4.348, 0.000, 0.000], [0.000, 5.566, 0.000], [0.000, 0.000, 7.759]],
  "species": ["Hf", "Hf", "Cd", "Cd", "Pd", "Pd", "Pd", "Pd", "Pd", "Pd"],
  "frac_coords": [[0.250, 0.250, 0.063], [0.750, 0.750, 0.937], [0.250, 0.250, 0.451], [0.750, 0.750, 0.549], [0.250, 0.513, 0.758], [0.250, 0.750, 0.155], [0.250, 0.987, 0.758], [0.750, 0.013, 0.242], [0.750, 0.250, 0.845], [0.750, 0.487, 0.242]]
}



Quick look at relative energies in kJ/mol of atoms: i) 90.3; ii) 0.0.



i) {
  "formula": "Pm2HfCd",
  "functional": "PBE-GGA",
  "state": "optimized geometry",
  "rho_g_cm3": 8.8,
  "lattice_angstrom": [[5.621, 0.000, 0.000], [0.000, 5.621, 0.000], [0.000, 0.000, 3.480]],
  "species": ["Pm", "Pm", "Hf", "Cd"],
  "frac_coords": [[0.000, 0.500, 0.000], [0.500, 0.000, 0.000], [0.000, 0.000, 0.500], [0.500, 0.500, 0.500]]
}



ii) {
  "formula": "Pm2HfCd",
  "functional": "PBE-GGA",
  "state": "optimized geometry",
  "rho_g_cm3": 8.7,
  "lattice_angstrom": [[1.631, 0.942, 12.049], [-1.631, 0.942, 12.049], [0.000, -1.883, 12.049]],
  "species": ["Pm", "Pm", "Hf", "Cd"],
  "frac_coords": [[0.088, 0.088, 0.088], [0.912, 0.912, 0.912], [0.000, 0.000, 0.000], [0.500, 0.500, 0.500]]
}



iii) {
  "formula": "Pm2HfCd",
  "functional": "PBE-GGA",
  "state": "optimized geometry",
  "rho_g_cm3": 8.7,
  "lattice_angstrom": [[3.449, 0.000, 0.000], [0.000, 3.449, 0.000], [0.000, 0.000, 9.324]],
  "species": ["Pm", "Pm", "Hf", "Cd"],
  "frac_coords": [[0.000, 0.000, 0.249], [0.000, 0.000, 0.751], [0.500, 0.500, 0.500], [0.500, 0.500, 0.000]]
}



Quick look at relative energies in kJ/mol of atoms: i) 8.5; ii) 35.8; iii) 0.0.



i) {
  "formula": "Pr2HfCd",
  "functional": "PBE-GGA",
  "state": "optimized geometry",
  "rho_g_cm3": 8.3,
  "lattice_angstrom": [[1.649, 0.952, 12.134], [-1.649, 0.952, 12.134], [0.000, -1.904, 12.134]],
  "species": ["Pr", "Pr", "Hf", "Cd"],
  "frac_coords": [[0.087, 0.087, 0.087], [0.913, 0.913, 0.913], [0.000, 0.000, 0.000], [0.500, 0.500, 0.500]]
}



ii) {
  "formula": "Pr2HfCd",
  "functional": "PBE-GGA",
  "state": "optimized geometry",
  "rho_g_cm3": 8.3,
  "lattice_angstrom": [[3.487, 0.000, 0.000], [0.000, 3.487, 0.000], [0.000, 0.000, 9.442]],
  "species": ["Pr", "Pr", "Hf", "Cd"],
  "frac_coords": [[0.000, 0.000, 0.249], [0.000, 0.000, 0.751], [0.500, 0.500, 0.500], [0.500, 0.500, 0.000]]
}



Quick look at relative energies in kJ/mol of atoms: i) 34.0; ii) 0.0.



i) {
  "formula": "HfCd2Pt",
  "functional": "PBE-GGA",
  "state": "optimized geometry",
  "rho_g_cm3": 11.5,
  "lattice_angstrom": [[-4.007, 4.007, 2.696], [4.007, -4.007, 2.696], [4.007, 4.007, -2.696]],
  "species": ["Hf", "Hf", "Cd", "Cd", "Cd", "Cd", "Pt", "Pt"],
  "frac_coords": [[0.000, 0.000, 0.000], [0.750, 0.250, 0.500], [0.158, 0.625, 0.033], [0.375, 0.408, 0.533], [0.592, 0.125, 0.967], [0.875, 0.842, 0.467], [0.250, 0.750, 0.500], [0.500, 0.500, 0.000]]
}



ii) {
  "formula": "HfCd2Pt",
  "functional": "PBE-GGA",
  "state": "optimized geometry",
  "rho_g_cm3": 13.2,
  "lattice_angstrom": [[0.000, 3.349, 3.349], [3.349, 0.000, 3.349], [3.349, 3.349, 0.000]],
  "species": ["Hf", "Cd", "Cd", "Pt"],
  "frac_coords": [[0.000, 0.000, 0.000], [0.250, 0.250, 0.250], [0.750, 0.750, 0.750], [0.500, 0.500, 0.500]]
}



Quick look at relative energies in kJ/mol of atoms: i) 18.1; ii) 0.0.



i) {
  "formula": "HfCdRe3",
  "functional": "PBE-GGA",
  "state": "optimized geometry",
  "rho_g_cm3": 12.6,
  "lattice_angstrom": [[4.818, 0.000, 0.000], [0.000, 4.818, 0.000], [0.000, 0.000, 4.818]],
  "species": ["Hf", "Cd", "Re", "Re", "Re"],
  "frac_coords": [[0.000, 0.000, 0.000], [0.500, 0.500, 0.500], [0.000, 0.000, 0.500], [0.000, 0.500, 0.000], [0.500, 0.000, 0.000]]
}



ii) {
  "formula": "HfCdRe3",
  "functional": "PBE-GGA",
  "state": "optimized geometry",
  "rho_g_cm3": 13.1,
  "lattice_angstrom": [[4.762, 0.000, 0.000], [0.000, 4.762, 0.000], [0.000, 0.000, 4.762]],
  "species": ["Hf", "Cd", "Re", "Re", "Re"],
  "frac_coords": [[0.000, 0.000, 0.000], [0.500, 0.500, 0.500], [0.000, 0.500, 0.500], [0.500, 0.000, 0.500], [0.500, 0.500, 0.000]]
}



Quick look at relative energies in kJ/mol of atoms: i) 0.0; ii) 24.4.



i) {
  "formula": "HfCd2Re",
  "functional": "PBE-GGA",
  "state": "optimized geometry",
  "rho_g_cm3": 13.1,
  "lattice_angstrom": [[0.000, 3.347, 3.347], [3.347, 0.000, 3.347], [3.347, 3.347, 0.000]],
  "species": ["Hf", "Cd", "Cd", "Re"],
  "frac_coords": [[0.000, 0.000, 0.000], [0.250, 0.250, 0.250], [0.750, 0.750, 0.750], [0.500, 0.500, 0.500]]
}



ii) {
  "formula": "HfCd2Re",
  "functional": "PBE-GGA",
  "state": "optimized geometry",
  "rho_g_cm3": 11.9,
  "lattice_angstrom": [[-1.973, 1.973, 10.573], [1.973, -1.973, 10.573], [1.973, 1.973, -10.573]],
  "species": ["Hf", "Hf", "Cd", "Cd", "Cd", "Cd", "Re", "Re"],
  "frac_coords": [[0.000, 0.000, 0.000], [0.750, 0.250, 0.500], [0.137, 0.625, 0.012], [0.375, 0.387, 0.512], [0.613, 0.125, 0.988], [0.875, 0.863, 0.488], [0.250, 0.750, 0.500], [0.500, 0.500, 0.000]]
}



Quick look at relative energies in kJ/mol of atoms: i) 0.0; ii) 4.6.



i) {
  "formula": "HfCd2Re2",
  "functional": "PBE-GGA",
  "state": "optimized geometry",
  "rho_g_cm3": 12.7,
  "lattice_angstrom": [[-1.905, 1.905, 7.007], [1.905, -1.905, 7.007], [1.905, 1.905, -7.007]],
  "species": ["Hf", "Cd", "Cd", "Re", "Re"],
  "frac_coords": [[0.000, 0.000, 0.000], [0.250, 0.750, 0.500], [0.750, 0.250, 0.500], [0.418, 0.418, 0.000], [0.582, 0.582, 0.000]]
}



ii) {
  "formula": "HfCd2Re2",
  "functional": "PBE-GGA",
  "state": "optimized geometry",
  "rho_g_cm3": 13.6,
  "lattice_angstrom": [[7.866, 0.000, 0.000], [0.000, 7.866, 0.000], [0.000, 0.000, 3.069]],
  "species": ["Hf", "Hf", "Cd", "Cd", "Cd", "Cd", "Re", "Re", "Re", "Re"],
  "frac_coords": [[0.000, 0.000, 0.000], [0.500, 0.500, 0.000], [0.185, 0.315, 0.500], [0.315, 0.815, 0.500], [0.685, 0.185, 0.500], [0.815, 0.685, 0.500], [0.107, 0.607, 0.000], [0.393, 0.107, 0.000], [0.607, 0.893, 0.000], [0.893, 0.393, 0.000]]
}



Quick look at relative energies in kJ/mol of atoms: i) 0.0; ii) 1.8.